First-principles (GGA-PBE) data for a geometry-optimized La2Nd2Dy5 structure, as listed in Alexandria.

The structure in CIF format:
```
data_La2Nd2Dy5
_cell_length_a 15.0908
_cell_length_b 12.0451
_cell_length_c 6.7800
_cell_angle_alpha 90.00
_cell_angle_beta 90.00
_cell_angle_gamma 90.00
_space_group_name_H-M_alt 'I m a 2'
_space_group_IT_number 46
loop_
_space_group_symop_operation_xyz
'x,y,z'
'-x,-y,z'
'-x+1/2,y,z'
'x+1/2,-y,z'
'x+1/2,y+1/2,z+1/2'
'-x+1/2,-y+1/2,z+1/2'
'-x,y+1/2,z+1/2'
'x,-y+1/2,z+1/2'
loop_
_atom_site_label
_atom_site_type_symbol
_atom_site_fract_x
_atom_site_fract_y
_atom_site_fract_z
La1 La 0.1267 0.0024 0.0000
Nd1 Nd 0.0000 0.0000 0.5399
Nd2 Nd 0.2500 0.0061 0.4601
Dy1 Dy 0.0531 0.7455 0.8583
Dy2 Dy 0.1428 0.2315 0.6716
Dy3 Dy 0.2500 0.7385 0.6483
```

Output
**Spin magnetization**: 0.00 μB per cell
**Energy above the lowest structure with this stoichiometry**: 51 meV per atom
**DFT total energy**: -4.520 eV per atom
**Energy of formation from the pure elements**: 191 meV per atom